The following is a PBE calculation of an optimized crystal structure of ScTiSn2, from the Alexandria database.

Geometry as POSCAR:
```
ScTiSn2
1.0
3.706 0.000 0.000
0.000 3.706 0.000
0.000 0.000 6.259
Sc Ti Sn
1 1 2
Cartesian
0.000 0.000 0.000 Sc
0.000 0.000 3.130 Ti
1.853 1.853 1.660 Sn
1.853 1.853 4.599 Sn
```

## Properties
Energy above the lowest structure with this stoichiometry = 47 meV per atom
Crystal system = tetragonal
Magnetization = 0.00 μB/f.u.
Formation enthalpy at 0 K = -28.33 kJ/mol of atoms
Space group = P4/mmm
N(E_F) = 1.09 states/eV per atom